Compound: AcPrHgRh
Source: Alexandria
Functional: PBE
Structure: optimized geometry

Computed properties:
Symmetry: F-43m, No. 216
M_tot (Bohr magnetons per cell): 0.00
E (eV per atom): -4.585
Offset from the most stable computed form (eV/atom): 0.103
Calculated density (kg/m³): 10134
DOS at the Fermi energy (states/eV per cell): 2.376

Unit cell a=5.378 b=5.378 c=5.378 alpha=60.00 beta=60.00 gamma=60.00
Element x y z (fractional)
Pr 0.750 0.750 0.750
Ac 0.250 0.250 0.250
Rh 0.000 0.000 0.000
Hg 0.500 0.500 0.500


Compound: Pr2Cd2Hg
Source: Alexandria
Functional: PBE
Structure: optimized geometry

Computed properties:
Symmetry: C2/m, No. 12
M_tot (Bohr magnetons per cell): 0.00
E (eV per atom): -2.662
Offset from the most stable computed form (eV/atom): 0.000
Calculated density (kg/m³): 8499
DOS at the Fermi energy (states/eV per cell): 9.206

Unit cell a=5.051 b=6.222 c=10.242 alpha=96.76 beta=75.72 gamma=66.05
Element x y z (fractional)
Pr 0.695 0.253 0.356
Pr 0.905 0.270 0.921
Pr 0.305 0.747 0.644
Pr 0.095 0.730 0.079
Cd 0.029 0.344 0.598
Cd 0.657 0.820 0.866
Cd 0.971 0.656 0.402
Cd 0.343 0.180 0.134
Hg 0.567 0.174 0.692
Hg 0.433 0.826 0.308


Compound: Ac7Nd3Sm
Source: Alexandria
Functional: PBE
Structure: optimized geometry

Computed properties:
Symmetry: Immm, No. 71
M_tot (Bohr magnetons per cell): 0.00
E (eV per atom): -4.099
Calculated density (kg/m³): 7646
DOS at the Fermi energy (states/eV per cell): 18.423

Unit cell a=9.143 b=6.458 c=9.143 alpha=110.64 beta=86.21 gamma=110.64
Element x y z (fractional)
Ac 0.797 0.796 0.797
Ac 0.978 0.688 0.397
Ac 0.603 0.312 0.022
Ac 0.397 0.688 0.978
Ac 0.500 0.000 0.500
Ac 0.022 0.312 0.603
Ac 0.203 0.204 0.203
Nd 0.211 0.000 0.789
Nd 0.000 0.500 0.000
Nd 0.789 0.000 0.211
Sm 0.500 0.500 0.500


Compound: CaB2TeO8
Source: Alexandria
Functional: PBE
Structure: optimized geometry

Computed properties:
Symmetry: P-3m1, No. 164
M_tot (Bohr magnetons per cell): 1.97
E (eV per atom): -6.427
Calculated density (kg/m³): 3667
ΔE_f (raw) (meV per atom): -1580
DOS at the Fermi energy (states/eV per cell): 4.954

Unit cell a=4.993 b=4.993 c=6.657 alpha=90.00 beta=90.00 gamma=120.00
Each line ends with the local moment (μB).
Element x y z (fractional)
Ca 0.000 0.000 0.500  0.00
B 0.667 0.333 0.241  -0.02
B 0.333 0.667 0.759  -0.02
Te 0.000 0.000 0.000  -0.01
O 0.831 0.169 0.189  0.07
O 0.831 0.662 0.189  0.07
O 0.338 0.169 0.189  0.07
O 0.662 0.831 0.811  0.07
O 0.333 0.667 0.539  0.63
O 0.667 0.333 0.461  0.63
O 0.169 0.831 0.811  0.07
O 0.169 0.338 0.811  0.07


Compound: ZnCdHg6
Source: Alexandria
Functional: PBE
Structure: optimized geometry

Computed properties:
Symmetry: C2/m, No. 12
M_tot (Bohr magnetons per cell): 0.00
E (eV per atom): -0.454
Offset from the most stable computed form (eV/atom): 0.000
Calculated density (kg/m³): 11114
DOS at the Fermi energy (states/eV per cell): 1.524

Unit cell a=6.599 b=6.479 c=6.513 alpha=60.17 beta=75.02 gamma=58.69
Element x y z (fractional)
Zn 0.500 0.500 0.000
Cd 0.000 0.000 0.000
Hg 0.748 0.488 0.549
Hg 0.748 0.037 0.451
Hg 0.252 0.963 0.549
Hg 0.252 0.512 0.451
Hg 0.740 0.741 0.000
Hg 0.260 0.259 0.000


Compound: SbPd2PbW
Source: Alexandria
Functional: PBE
Structure: optimized geometry

Computed properties:
Symmetry: P4/mmm, No. 123
M_tot (Bohr magnetons per cell): 1.47
E (eV per atom): -5.321
Calculated density (kg/m³): 9664
ΔE_f (raw) (meV per atom): 913
DOS at the Fermi energy (states/eV per cell): 3.067

Unit cell a=4.927 b=5.136 c=4.927 alpha=90.00 beta=90.00 gamma=90.00
Each line ends with the local moment (μB).
Element x y z (fractional)
Pb 0.500 0.500 0.500  -0.03
Sb 0.000 0.000 0.000  -0.03
Pd 0.000 0.000 0.500  -0.02
Pd 0.500 0.000 0.000  0.01
W 0.000 0.500 0.000  1.24


Compound: Ba2ScCr
Source: Alexandria
Functional: PBE
Structure: optimized geometry

Computed properties:
Symmetry: Cmmm, No. 65
M_tot (Bohr magnetons per cell): 4.47
E (eV per atom): -4.279
Offset from the most stable computed form (eV/atom): 0.228
Calculated density (kg/m³): 4124
DOS at the Fermi energy (states/eV per cell): 5.925

Unit cell a=5.979 b=5.979 c=4.185 alpha=90.00 beta=90.00 gamma=89.91
Each line ends with the local moment (μB).
Element x y z (fractional)
Ba 0.000 0.000 0.000  0.01
Ba 0.500 0.500 0.000  0.01
Cr 0.500 0.000 0.500  4.01
Sc 0.000 0.500 0.500  -0.21


Compound: ZnTeCl2
Source: Alexandria
Functional: PBE
Structure: optimized geometry

Computed properties:
Symmetry: I4/mmm, No. 139
M_tot (Bohr magnetons per cell): 0.00
E (eV per atom): -1.843
Offset from the most stable computed form (eV/atom): 0.808
Calculated density (kg/m³): 4872
ΔE_f (raw) (meV per atom): 184
DOS at the Fermi energy (states/eV per cell): 3.970

Unit cell a=5.537 b=5.537 c=5.537 alpha=132.72 beta=132.72 gamma=69.10
Element x y z (fractional)
Zn 0.750 0.250 0.500
Te 0.250 0.750 0.500
Cl 0.000 0.000 0.000
Cl 0.500 0.500 0.000


Compound: PmPu2Hg8
Source: Alexandria
Functional: PBE
Structure: optimized geometry

Computed properties:
Symmetry: Immm, No. 71
M_tot (Bohr magnetons per cell): 11.42
E (eV per atom): -3.411
Calculated density (kg/m³): 12909
DOS at the Fermi energy (states/eV per cell): 31.222

Unit cell a=5.252 b=7.498 c=8.625 alpha=115.77 beta=107.73 gamma=90.00
Each line ends with the local moment (μB).
Element x y z (fractional)
Pm 0.500 0.000 0.000  -0.05
Pu 0.197 0.697 0.393  5.47
Pu 0.803 0.303 0.607  5.47
Hg 0.645 0.851 0.290  0.01
Hg 0.355 0.561 0.710  0.01
Hg 0.157 0.157 0.314  -0.01
Hg 0.000 0.292 0.000  0.00
Hg 0.843 0.843 0.686  -0.01
Hg 0.645 0.439 0.290  0.01
Hg 0.355 0.149 0.710  0.01
Hg 0.000 0.708 0.000  0.00


Compound: HoEr2Be
Source: Alexandria
Functional: PBE
Structure: optimized geometry

Computed properties:
Symmetry: R-3m, No. 166
M_tot (Bohr magnetons per cell): 0.00
E (eV per atom): -3.679
Offset from the most stable computed form (eV/atom): 0.617
Calculated density (kg/m³): 7486
DOS at the Fermi energy (states/eV per cell): 3.543

Unit cell a=3.396 b=3.396 c=11.464 alpha=81.48 beta=81.48 gamma=60.00
Element x y z (fractional)
Be 0.000 0.000 0.000
Ho 0.500 0.500 0.500
Er 0.084 0.084 0.747
Er 0.916 0.916 0.253


Compound: MnOsRu2
Source: Alexandria
Functional: PBE
Structure: optimized geometry

Computed properties:
Symmetry: I4/mmm, No. 139
M_tot (Bohr magnetons per cell): 1.22
E (eV per atom): -9.660
Offset from the most stable computed form (eV/atom): 0.000
Calculated density (kg/m³): 13709
DOS at the Fermi energy (states/eV per cell): 3.887

Unit cell a=4.630 b=4.630 c=4.630 alpha=131.71 beta=131.71 gamma=70.69
Each line ends with the local moment (μB).
Element x y z (fractional)
Mn 0.250 0.750 0.500  1.98
Os 0.750 0.250 0.500  -0.22
Ru 0.000 0.000 0.000  -0.29
Ru 0.500 0.500 0.000  -0.29


Compound: GaFeAu2Br
Source: Alexandria
Functional: PBE
Structure: optimized geometry

Computed properties:
Symmetry: P4/mmm, No. 123
M_tot (Bohr magnetons per cell): 3.10
E (eV per atom): -3.545
Calculated density (kg/m³): 8620
ΔE_f (raw) (meV per atom): 398
DOS at the Fermi energy (states/eV per cell): 2.939

Unit cell a=4.931 b=4.749 c=4.931 alpha=90.00 beta=90.00 gamma=90.00
Each line ends with the local moment (μB).
Element x y z (fractional)
Au 0.000 0.000 0.500  0.14
Au 0.500 0.000 0.000  0.05
Ga 0.500 0.500 0.500  -0.01
Br 0.000 0.500 0.000  0.09
Fe 0.000 0.000 0.000  2.75


Compound: KNiCl2
Source: Alexandria
Functional: PBE
Structure: optimized geometry

Computed properties:
Symmetry: P2/m, No. 10
M_tot (Bohr magnetons per cell): 1.00
E (eV per atom): -3.587
Offset from the most stable computed form (eV/atom): 0.022
Calculated density (kg/m³): 2854
ΔE_f (raw) (meV per atom): -944
DOS at the Fermi energy (states/eV per cell): 0.273

Unit cell a=3.519 b=4.174 c=6.683 alpha=90.22 beta=90.00 gamma=90.00
Each line ends with the local moment (μB).
Element x y z (fractional)
Ni 0.500 0.750 0.750  0.87
K 0.500 0.250 0.250  0.00
Cl 0.000 0.749 0.984  0.06
Cl 0.000 0.751 0.516  0.06